Material: La2PrMg
Method: DFT, PBE-GGA
State: optimized geometry

Cell: 5.7691 5.7691 5.7691 Å, 60.00 60.00 60.00°
With the nearest neighbours (Å) after each atom.
Sites, in units of the cell vectors:
La (0.7500, 0.7500, 0.7500)  4 Pr 3.53, 4 Mg 3.53
La (0.2500, 0.2500, 0.2500)  4 Pr 3.53, 4 Mg 3.53
Pr (0.0000, 0.0000, 0.0000)  8 La 3.53
Mg (0.5000, 0.5000, 0.5000)  8 La 3.53

Results
- energy of formation from the pure elements (eV/atom) = 0.035
- VASP energy (eV per atom) = -4.022
- total magnetization (μB/atom) = 0.00
- V (A^3/atom) = 33.94
- crystal system = cubic
- distance to the lowest polymorph of the same formula (meV/atom) = 82